K2GaNiO4 | GGA+U | optimized geometry

abc: 5.110 6.459 9.957
angles: 84.17 75.13 66.70
Last column: magnetic moment on the atom in μB.
Sites, in units of the cell vectors:
O (0.132, 0.324, 0.406)  0.21
O (0.462, 0.676, 0.406)  0.21
O (0.288, 0.824, 0.094)  0.21
O (0.206, 0.176, 0.906)  0.21
O (0.862, 0.676, 0.594)  0.21
O (0.544, 0.324, 0.594)  0.21
O (0.618, 0.176, 0.094)  0.21
O (0.888, 0.824, 0.906)  0.21
K (0.177, 0.000, 0.646)  0.00
K (0.927, 0.500, 0.146)  0.00
K (0.823, 0.000, 0.354)  0.00
K (0.573, 0.500, 0.854)  0.00
Ga (0.250, 0.500, 0.500)  0.00
Ga (0.500, 0.000, 0.000)  0.00
Ni (0.000, 0.000, 0.000)  1.98
Ni (0.750, 0.500, 0.500)  1.98

Calculated values
- crystal system = orthorhombic
- total magnetization (μB/f.u.) = 3.0
- E (eV/atom) = -4.74